No. 1
This record from Alexandria describes a relaxed structure of ScTa2Ir. The functional is PBE-GGA.

The structure in CIF format:
```
data_ScTa2Ir
_cell_length_a 2.9750
_cell_length_b 2.9750
_cell_length_c 8.2670
_cell_angle_alpha 90.00
_cell_angle_beta 90.00
_cell_angle_gamma 90.00
_symmetry_space_group_name_H-M 'P 4/m m m'
_symmetry_Int_Tables_number 123
_symmetry_space_group_name_Hall '-P 4 2'
loop_
_atom_site_label
_atom_site_type_symbol
_atom_site_fract_x
_atom_site_fract_y
_atom_site_fract_z
_atom_site_occupancy
Sc1 Sc 0.0000 0.0000 0.0000 1
Ta1 Ta 0.5000 0.5000 0.2776 1
Ir1 Ir 0.0000 0.0000 0.5000 1
```

Values from the calculation:
Its total energy is -39.5 eV for the cell shown. The density comes out at 13.60 g/cm³. The formation energy is -154 meV per atom. Its magnetization is 0.00 μB/f.u.

---

No. 2
This record from Alexandria describes a relaxed structure of ScTa2Ir. The functional is PBE-GGA.

The structure in CIF format:
```
data_ScTa2Ir
_cell_length_a 3.1395
_cell_length_b 4.7832
_cell_length_c 9.4131
_cell_angle_alpha 90.00
_cell_angle_beta 90.00
_cell_angle_gamma 90.00
_symmetry_space_group_name_H-M 'I m m 2'
_symmetry_Int_Tables_number 44
_symmetry_space_group_name_Hall 'I 2 -2'
loop_
_atom_site_label
_atom_site_type_symbol
_atom_site_fract_x
_atom_site_fract_y
_atom_site_fract_z
_atom_site_occupancy
Sc1 Sc 0.0000 0.0000 0.0000 1
Ta1 Ta 0.0000 0.0000 0.5187 1
Ta2 Ta 0.0000 0.5000 0.7676 1
Ir1 Ir 0.0000 0.5000 0.2519 1
```

Values from the calculation:
Its total energy is -79.7 eV for the cell shown. The density comes out at 14.07 g/cm³. The formation energy is -238 meV per atom. Its magnetization is 0.00 μB/f.u.

---

No. 3
This record from Alexandria describes a relaxed structure of ScTa2Ir. The functional is PBE-GGA.

The structure in CIF format:
```
data_ScTa2Ir
_cell_length_a 2.9893
_cell_length_b 2.9893
_cell_length_c 27.9750
_cell_angle_alpha 90.00
_cell_angle_beta 90.00
_cell_angle_gamma 120.00
_symmetry_space_group_name_H-M 'R 3 m'
_symmetry_Int_Tables_number 160
_symmetry_space_group_name_Hall 'R 3 -2"'
loop_
_atom_site_label
_atom_site_type_symbol
_atom_site_fract_x
_atom_site_fract_y
_atom_site_fract_z
_atom_site_occupancy
Sc1 Sc 0.0000 0.0000 0.0000 1
Ta1 Ta 0.0000 0.0000 0.5097 1
Ta2 Ta 0.0000 0.0000 0.7558 1
Ir1 Ir 0.0000 0.0000 0.2524 1
```

Values from the calculation:
Its total energy is -117.5 eV for the cell shown. The density comes out at 13.78 g/cm³. The formation energy is -66 meV per atom. Its magnetization is 0.00 μB/f.u.

---

No. 4
This record from Alexandria describes a relaxed structure of ScTa2Ir2. The functional is PBE-GGA.

The structure in CIF format:
```
data_ScTa2Ir2
_cell_length_a 7.6404
_cell_length_b 7.6404
_cell_length_c 3.0560
_cell_angle_alpha 90.00
_cell_angle_beta 90.00
_cell_angle_gamma 90.00
_symmetry_space_group_name_H-M 'P 4/m b m'
_symmetry_Int_Tables_number 127
_symmetry_space_group_name_Hall '-P 4 2ab'
loop_
_atom_site_label
_atom_site_type_symbol
_atom_site_fract_x
_atom_site_fract_y
_atom_site_fract_z
_atom_site_occupancy
Sc1 Sc 0.0000 0.0000 0.0000 1
Ta1 Ta 0.1665 0.3335 0.5000 1
Ir1 Ir 0.1317 0.6317 0.0000 1
```

Values from the calculation:
Its total energy is -100.3 eV for the cell shown. The density comes out at 14.73 g/cm³. The formation energy is -474 meV per atom. Its distance to the lowest polymorph of the same formula is 0 meV/atom. Its magnetization is 0.00 μB/f.u.

---

No. 5
This record from Alexandria describes a relaxed structure of Sc5TaIr6. The functional is PBE-GGA.

The structure in CIF format:
```
data_Sc5TaIr6
_cell_length_a 4.4646
_cell_length_b 6.7750
_cell_length_c 13.3674
_cell_angle_alpha 90.00
_cell_angle_beta 90.00
_cell_angle_gamma 90.00
_symmetry_space_group_name_H-M 'I m m m'
_symmetry_Int_Tables_number 71
_symmetry_space_group_name_Hall '-I 2 2'
loop_
_atom_site_label
_atom_site_type_symbol
_atom_site_fract_x
_atom_site_fract_y
_atom_site_fract_z
_atom_site_occupancy
Sc1 Sc 0.0000 0.0000 0.0000 1
Sc2 Sc 0.0000 0.0000 0.3292 1
Sc3 Sc 0.0000 0.5000 0.3359 1
Ta1 Ta 0.0000 0.5000 0.0000 1
Ir1 Ir 0.0000 0.2343 0.5000 1
Ir2 Ir 0.0000 0.2569 0.1630 1
```

Values from the calculation:
Its total energy is -215.7 eV for the cell shown. The density comes out at 12.81 g/cm³. The formation energy is -932 meV per atom. Its magnetization is 0.00 μB/f.u.

---

No. 6
This record from Alexandria describes a relaxed structure of ScTaIr4. The functional is PBE-GGA.

The structure in CIF format:
```
data_ScTaIr4
_cell_length_a 7.3465
_cell_length_b 7.3465
_cell_length_c 7.3465
_cell_angle_alpha 90.00
_cell_angle_beta 90.00
_cell_angle_gamma 90.00
_symmetry_space_group_name_H-M 'F -4 3 m'
_symmetry_Int_Tables_number 216
_symmetry_space_group_name_Hall 'F -4 2 3'
loop_
_atom_site_label
_atom_site_type_symbol
_atom_site_fract_x
_atom_site_fract_y
_atom_site_fract_z
_atom_site_occupancy
Sc1 Sc 0.0000 0.0000 0.0000 1
Ta1 Ta 0.2500 0.2500 0.7500 1
Ir1 Ir 0.1255 0.1255 0.3745 1
```

Values from the calculation:
Its total energy is -224.9 eV for the cell shown. The density comes out at 16.66 g/cm³. The formation energy is -433 meV per atom. Its magnetization is 0.00 μB/f.u.

---

No. 7
This record from Alexandria describes a relaxed structure of ScTa4Ir. The functional is PBE-GGA.

The structure in CIF format:
```
data_ScTa4Ir
_cell_length_a 7.6716
_cell_length_b 7.6716
_cell_length_c 7.6716
_cell_angle_alpha 90.00
_cell_angle_beta 90.00
_cell_angle_gamma 90.00
_symmetry_space_group_name_H-M 'F -4 3 m'
_symmetry_Int_Tables_number 216
_symmetry_space_group_name_Hall 'F -4 2 3'
loop_
_atom_site_label
_atom_site_type_symbol
_atom_site_fract_x
_atom_site_fract_y
_atom_site_fract_z
_atom_site_occupancy
Sc1 Sc 0.0000 0.0000 0.0000 1
Ta1 Ta 0.1256 0.1256 0.6256 1
Ir1 Ir 0.2500 0.2500 0.2500 1
```

Values from the calculation:
Its total energy is -247.2 eV for the cell shown. The density comes out at 14.14 g/cm³. The formation energy is 134 meV per atom. Its magnetization is 0.00 μB/f.u.

---

No. 8
This record from Alexandria describes a relaxed structure of ScTa2Ir. The functional is PBE-GGA.

The structure in CIF format:
```
data_ScTa2Ir
_cell_length_a 4.7320
_cell_length_b 4.7320
_cell_length_c 3.1023
_cell_angle_alpha 90.00
_cell_angle_beta 90.00
_cell_angle_gamma 90.00
_symmetry_space_group_name_H-M 'P 4/m m m'
_symmetry_Int_Tables_number 123
_symmetry_space_group_name_Hall '-P 4 2'
loop_
_atom_site_label
_atom_site_type_symbol
_atom_site_fract_x
_atom_site_fract_y
_atom_site_fract_z
_atom_site_occupancy
Sc1 Sc 0.0000 0.0000 0.0000 1
Ta1 Ta 0.0000 0.5000 0.5000 1
Ir1 Ir 0.5000 0.5000 0.0000 1
```

Values from the calculation:
Its total energy is -39.2 eV for the cell shown. The density comes out at 14.32 g/cm³. The formation energy is -88 meV per atom. Its magnetization is 0.00 μB/f.u.

---

No. 9
This record from Alexandria describes a relaxed structure of ScTa2Ir. The functional is PBE-GGA.

The structure in CIF format:
```
data_ScTa2Ir
_cell_length_a 2.9182
_cell_length_b 4.6278
_cell_length_c 5.3493
_cell_angle_alpha 90.00
_cell_angle_beta 102.90
_cell_angle_gamma 90.00
_symmetry_space_group_name_H-M 'P 1 2/m 1'
_symmetry_Int_Tables_number 10
_symmetry_space_group_name_Hall '-P 2y'
loop_
_atom_site_label
_atom_site_type_symbol
_atom_site_fract_x
_atom_site_fract_y
_atom_site_fract_z
_atom_site_occupancy
Sc1 Sc 0.0000 0.0000 0.0000 1
Ta1 Ta 0.2755 0.5000 0.7444 1
Ir1 Ir 0.5000 0.0000 0.5000 1
```

Values from the calculation:
Its total energy is -39.9 eV for the cell shown. The density comes out at 14.13 g/cm³. The formation energy is -244 meV per atom. Its magnetization is 0.00 μB/f.u.

---

No. 10
This record from Alexandria describes a relaxed structure of ScTa2Ir. The functional is PBE-GGA.

The structure in CIF format:
```
data_ScTa2Ir
_cell_length_a 3.8845
_cell_length_b 3.8845
_cell_length_c 9.4408
_cell_angle_alpha 90.00
_cell_angle_beta 90.00
_cell_angle_gamma 90.00
_symmetry_space_group_name_H-M 'I 4/m m m'
_symmetry_Int_Tables_number 139
_symmetry_space_group_name_Hall '-I 4 2'
loop_
_atom_site_label
_atom_site_type_symbol
_atom_site_fract_x
_atom_site_fract_y
_atom_site_fract_z
_atom_site_occupancy
Sc1 Sc 0.0000 0.0000 0.0000 1
Ta1 Ta 0.0000 0.5000 0.2500 1
Ir1 Ir 0.0000 0.0000 0.5000 1
```

Values from the calculation:
Its total energy is -79.6 eV for the cell shown. The density comes out at 13.97 g/cm³. The formation energy is -224 meV per atom. Its magnetization is 0.00 μB/f.u.

---

No. 11
This record from Alexandria describes a relaxed structure of ScTaIr. The functional is PBE-GGA.

The structure in CIF format:
```
data_ScTaIr
_cell_length_a 3.1765
_cell_length_b 3.1765
_cell_length_c 10.5017
_cell_angle_alpha 90.00
_cell_angle_beta 90.00
_cell_angle_gamma 90.00
_symmetry_space_group_name_H-M 'I 4 m m'
_symmetry_Int_Tables_number 107
_symmetry_space_group_name_Hall 'I 4 -2'
loop_
_atom_site_label
_atom_site_type_symbol
_atom_site_fract_x
_atom_site_fract_y
_atom_site_fract_z
_atom_site_occupancy
Sc1 Sc 0.0000 0.0000 0.0000 1
Ta1 Ta 0.0000 0.0000 0.3147 1
Ir1 Ir 0.0000 0.0000 0.6665 1
```

Values from the calculation:
Its total energy is -57.0 eV for the cell shown. The density comes out at 13.10 g/cm³. The formation energy is -485 meV per atom. Its distance to the lowest polymorph of the same formula is 101 meV/atom. Its magnetization is 0.00 μB/f.u.

---

No. 12
This record from Alexandria describes a relaxed structure of ScTa2Ir. The functional is PBE-GGA.

The structure in CIF format:
```
data_ScTa2Ir
_cell_length_a 2.9049
_cell_length_b 4.5317
_cell_length_c 5.4154
_cell_angle_alpha 90.00
_cell_angle_beta 100.49
_cell_angle_gamma 90.00
_symmetry_space_group_name_H-M 'P 1 m 1'
_symmetry_Int_Tables_number 6
_symmetry_space_group_name_Hall 'P -2y'
loop_
_atom_site_label
_atom_site_type_symbol
_atom_site_fract_x
_atom_site_fract_y
_atom_site_fract_z
_atom_site_occupancy
Sc1 Sc 0.0000 0.0000 0.0000 1
Ta1 Ta 0.4745 0.0000 0.5114 1
Ta2 Ta 0.7150 0.5000 0.2512 1
Ir1 Ir 0.2482 0.5000 0.7553 1
```

Values from the calculation:
Its total energy is -39.7 eV for the cell shown. The density comes out at 14.19 g/cm³. The formation energy is -213 meV per atom. Its magnetization is 0.00 μB/f.u.

---

No. 13
This record from Alexandria describes a relaxed structure of ScTaIr. The functional is PBE-GGA.

The structure in CIF format:
```
data_ScTaIr
_cell_length_a 4.5315
_cell_length_b 4.5315
_cell_length_c 2.9403
_cell_angle_alpha 90.00
_cell_angle_beta 90.00
_cell_angle_gamma 120.00
_symmetry_space_group_name_H-M 'P 3 m 1'
_symmetry_Int_Tables_number 156
_symmetry_space_group_name_Hall 'P 3 -2"'
loop_
_atom_site_label
_atom_site_type_symbol
_atom_site_fract_x
_atom_site_fract_y
_atom_site_fract_z
_atom_site_occupancy
Sc1 Sc 0.0000 0.0000 0.0000 1
Ta1 Ta 0.3333 0.6667 0.3945 1
Ir1 Ir 0.6667 0.3333 0.6522 1
```

Values from the calculation:
Its total energy is -28.1 eV for the cell shown. The density comes out at 13.28 g/cm³. The formation energy is -364 meV per atom. Its distance to the lowest polymorph of the same formula is 222 meV/atom. Its magnetization is 0.00 μB/f.u.